(1)
# Si4Sb

A relaxed structure of Si4Sb (PBE, Alexandria). Values from VASP.

Properties
As for the spin magnetization: 0.0 μB per cell. The value obtained for the formation energy from raw total energies is 1.58 eV/atom. The energy relative to the lowest polymorph listed for this composition is 1078 meV per atom. For the total energy, the calculation gives -17.92 eV/cell.

```
&SYSTEM
  ibrav = 0, nat = 5, ntyp = 2
/
ATOMIC_SPECIES
Si 28.09 Si.upf
Sb 121.76 Sb.upf
CELL_PARAMETERS angstrom
5.132 0.000 0.000
0.000 5.132 0.000
0.000 0.000 5.132
ATOMIC_POSITIONS angstrom
Si 0.000 0.000 0.000
Si 0.000 2.566 2.566
Si 2.566 0.000 2.566
Si 2.566 2.566 0.000
Sb 2.566 2.566 2.566
```

=====

(2)
# Pm2PuZn6

A relaxed structure of Pm2PuZn6 (PBE, Alexandria). Values from VASP.

Properties
As for the spin magnetization: 6.0 μB per cell. For the total energy, the calculation gives -33.93 eV/cell.

```
&SYSTEM
  ibrav = 0, nat = 9, ntyp = 3
/
ATOMIC_SPECIES
Pm 145.00 Pm.upf
Pu 244.00 Pu.upf
Zn 65.41 Zn.upf
CELL_PARAMETERS angstrom
7.998 0.000 0.000
-3.999 6.927 0.000
0.000 0.000 3.375
ATOMIC_POSITIONS angstrom
Pm 0.000 4.618 0.000
Pm 3.999 2.309 0.000
Pu 0.000 0.000 0.000
Zn -1.327 2.299 1.688
Zn -2.672 4.628 1.688
Zn 2.655 0.000 1.688
Zn 1.327 2.299 1.688
Zn 5.344 0.000 1.688
Zn 2.672 4.628 1.688
```

=====

(3)
# Dy2Re3Si4

A relaxed structure of Dy2Re3Si4 (PBE, Alexandria). Values from VASP.

Properties
As for the spin magnetization: 0.0 μB per cell. The value obtained for the formation energy from raw total energies is -0.36 eV/atom. For the total energy, the calculation gives -71.49 eV/cell.

```
&SYSTEM
  ibrav = 0, nat = 9, ntyp = 3
/
ATOMIC_SPECIES
Dy 162.50 Dy.upf
Re 186.21 Re.upf
Si 28.09 Si.upf
CELL_PARAMETERS angstrom
0.000 4.704 6.251
2.687 0.000 6.251
2.687 4.704 0.000
ATOMIC_POSITIONS angstrom
Dy 2.687 4.704 1.739
Dy 2.687 4.704 10.762
Re 1.343 2.352 0.000
Re 1.343 2.352 6.251
Re 2.687 4.704 6.251
Si 2.687 3.072 4.225
Si 2.687 3.072 8.276
Si 2.687 6.337 4.225
Si 2.687 6.337 8.276
```

=====

(4)
# HoTm3Al4

A relaxed structure of HoTm3Al4 (PBE, Alexandria). Values from VASP.

Properties
As for the spin magnetization: 0.0 μB per cell. For the total energy, the calculation gives -36.09 eV/cell.

```
&SYSTEM
  ibrav = 0, nat = 8, ntyp = 3
/
ATOMIC_SPECIES
Ho 164.93 Ho.upf
Tm 168.93 Tm.upf
Al 26.98 Al.upf
CELL_PARAMETERS angstrom
5.038 0.000 0.000
0.000 5.038 0.000
0.000 0.000 7.096
ATOMIC_POSITIONS angstrom
Ho 0.000 0.000 0.000
Tm 0.000 0.000 3.548
Tm 2.519 2.519 0.000
Tm 2.519 2.519 3.548
Al 0.000 2.519 1.788
Al 0.000 2.519 5.308
Al 2.519 0.000 1.788
Al 2.519 0.000 5.308
```

=====

(5)
# ZrTi2Pb2

A relaxed structure of ZrTi2Pb2 (PBE, Alexandria). Values from VASP.

Properties
As for the spin magnetization: 0.0 μB per cell. The energy relative to the lowest polymorph listed for this composition is 0 meV per atom. For the total energy, the calculation gives -63.25 eV/cell.

```
&SYSTEM
  ibrav = 0, nat = 10, ntyp = 3
/
ATOMIC_SPECIES
Zr 91.22 Zr.upf
Ti 47.87 Ti.upf
Pb 207.20 Pb.upf
CELL_PARAMETERS angstrom
7.746 0.000 0.000
0.000 7.746 0.000
0.000 0.000 3.630
ATOMIC_POSITIONS angstrom
Zr 0.000 0.000 0.000
Zr 3.873 3.873 0.000
Ti 1.233 2.640 1.815
Ti 2.640 6.513 1.815
Ti 5.106 1.233 1.815
Ti 6.513 5.106 1.815
Pb 1.100 4.972 0.000
Pb 2.773 1.100 0.000
Pb 4.972 6.646 0.000
Pb 6.646 2.773 0.000
```

=====

(6)
# K3TiBi2Se6

A relaxed structure of K3TiBi2Se6 (PBE, Alexandria). Values from VASP.

Properties
As for the spin magnetization: 1.0 μB per cell. The value obtained for the formation energy from raw total energies is -0.91 eV/atom. For the total energy, the calculation gives -50.74 eV/cell.

```
&SYSTEM
  ibrav = 0, nat = 12, ntyp = 4
/
ATOMIC_SPECIES
K 39.10 K.upf
Ti 47.87 Ti.upf
Bi 208.98 Bi.upf
Se 78.96 Se.upf
CELL_PARAMETERS angstrom
3.649 -6.326 0.000
3.649 6.326 0.000
-2.449 0.000 7.606
ATOMIC_POSITIONS angstrom
K 0.000 0.000 0.000
K 3.649 2.195 0.000
K 3.649 -2.195 0.000
Ti 2.424 0.000 3.803
Bi 2.424 4.228 3.803
Bi 2.424 -4.228 3.803
Se 1.316 1.927 2.283
Se 0.208 0.000 5.334
Se 1.316 -1.927 2.283
Se 3.532 1.927 5.323
Se 4.640 0.000 2.272
Se 3.532 -1.927 5.323
```

=====

(7)
# Pr5DyYEr2

A relaxed structure of Pr5DyYEr2 (PBE, Alexandria). Values from VASP.

Properties
As for the spin magnetization: 0.0 μB per cell. For the total energy, the calculation gives -85.55 eV/cell.

```
&SYSTEM
  ibrav = 0, nat = 18, ntyp = 4
/
ATOMIC_SPECIES
Pr 140.91 Pr.upf
Dy 162.50 Dy.upf
Y 88.91 Y.upf
Er 167.26 Er.upf
CELL_PARAMETERS angstrom
2.830 -10.343 0.000
2.830 10.343 0.000
0.000 0.000 10.734
ATOMIC_POSITIONS angstrom
Pr 2.830 10.054 5.367
Pr 2.830 4.581 8.572
Pr 2.830 4.228 2.069
Pr 2.830 2.422 5.425
Pr 2.830 0.310 2.475
Pr 2.830 -0.310 7.842
Pr 2.830 -2.422 0.058
Pr 2.830 -4.228 7.436
Pr 2.830 -4.581 3.205
Pr 2.830 -10.054 0.000
Dy 2.830 6.222 5.326
Dy 2.830 -6.222 10.693
Y 2.830 1.949 10.211
Y 2.830 -1.949 4.844
Er 2.830 8.001 2.423
Er 2.830 7.982 8.459
Er 2.830 -7.982 3.092
Er 2.830 -8.001 7.790
```

=====

(8)
# Pr12C5S3

A relaxed structure of Pr12C5S3 (PBE, Alexandria). Values from VASP.

Properties
As for the spin magnetization: 0.0 μB per cell. The value obtained for the formation energy from raw total energies is -0.42 eV/atom. For the total energy, the calculation gives -496.75 eV/cell.

```
&SYSTEM
  ibrav = 0, nat = 80, ntyp = 3
/
ATOMIC_SPECIES
Pr 140.91 Pr.upf
C 12.01 C.upf
S 32.06 S.upf
CELL_PARAMETERS angstrom
-7.998 7.998 7.998
7.998 -7.998 7.998
7.998 7.998 -7.998
ATOMIC_POSITIONS angstrom
Pr 2.408 -0.468 0.922
Pr 9.589 4.921 -4.467
Pr 10.406 0.468 0.922
Pr 9.589 -3.077 4.467
Pr 7.530 -0.922 2.408
Pr 12.465 -1.591 3.077
Pr 0.922 2.408 -0.468
Pr 11.075 3.531 -1.591
Pr 4.921 4.467 -1.591
Pr 7.076 2.408 0.468
Pr -0.468 0.922 2.408
Pr 4.467 -1.591 4.921
Pr 7.530 7.076 -2.408
Pr 4.467 1.591 3.077
Pr 4.921 -4.467 9.589
Pr 7.076 -2.408 7.530
Pr 3.077 4.467 1.591
Pr 8.920 5.590 0.468
Pr 4.467 9.589 -3.077
Pr 7.530 0.922 5.590
Pr 2.408 7.530 -0.922
Pr 9.589 3.077 3.531
Pr 1.591 3.077 4.467
Pr 2.408 0.468 7.076
Pr 5.590 7.530 0.922
Pr 6.407 4.921 3.531
Pr -1.591 4.921 4.467
Pr 5.590 0.468 8.920
Pr 0.468 7.076 2.408
Pr 3.531 -1.591 11.075
Pr -0.922 2.408 7.530
Pr 4.921 3.531 6.407
Pr 0.922 10.406 0.468
Pr 3.077 12.465 -1.591
Pr 3.531 6.407 4.921
Pr 0.468 0.922 10.406
Pr 3.531 9.589 3.077
Pr 8.466 7.076 5.590
Pr 0.922 5.590 7.530
Pr 3.077 3.531 9.589
Pr -3.077 4.467 9.589
Pr 7.076 5.590 8.466
Pr -4.467 9.589 4.921
Pr 0.468 8.920 5.590
Pr -1.591 11.075 3.531
Pr -2.408 7.530 7.076
Pr -1.591 3.077 12.465
Pr 5.590 8.466 7.076
C 0.000 0.000 0.000
C 3.999 3.999 -3.999
C 3.999 -3.999 3.999
C 7.998 0.000 0.000
C 11.997 2.000 0.000
C 7.998 -3.999 5.999
C 5.999 7.998 -3.999
C 5.999 0.000 3.999
C 3.999 5.999 0.000
C 7.998 3.999 2.000
C -3.999 3.999 3.999
C 0.000 7.998 0.000
C 0.000 0.000 7.998
C 3.999 3.999 3.999
C 0.000 3.999 5.999
C 3.999 2.000 7.998
C 2.000 7.998 3.999
C 2.000 0.000 11.997
C 0.000 11.997 2.000
C -3.999 5.999 7.998
S 3.999 2.000 0.000
S 7.998 3.999 -2.000
S 2.000 0.000 3.999
S 9.998 0.000 3.999
S 0.000 3.999 2.000
S 3.999 -2.000 7.998
S 3.999 9.998 0.000
S 7.998 3.999 5.999
S -2.000 7.998 3.999
S 5.999 7.998 3.999
S 0.000 3.999 9.998
S 3.999 5.999 7.998
```

=====

- What is the formula in the second record?
  Pm2PuZn6